ZnCu2Sb (PBE-GGA, optimized geometry); crystal system = cubic; SG = Fm-3m; formation energy from raw total energies = 0.2028 eV per atom; calculated total energy = -0.117 hartree per atom; Fermi-level density of states = 2.28 states/eV/f.u.; total moment = 0.00 μB per cell
1.0
0.000 3.205 3.205
3.205 0.000 3.205
3.205 3.205 0.000
Zn Cu Sb
1 2 1
Direct
0.000 0.000 0.000
0.250 0.250 0.250
0.750 0.750 0.750
0.500 0.500 0.500